# 1
This record from OQMD describes an optimized crystal structure of SmBN2. The functional is GGA-PBE.

The value obtained for the spin magnetization is 0.000 μB/f.u.

abc: 7.284 7.284 7.284
angles: 110.82 110.82 110.82
Sites, in units of the cell vectors:
Sm  0.001  0.454  0.545
Sm  0.045  0.954  0.501
Sm  0.454  0.545  0.001
Sm  0.501  0.045  0.954
Sm  0.545  0.001  0.454
Sm  0.954  0.501  0.045
B  0.001  0.122  0.881
B  0.122  0.881  0.001
B  0.381  0.622  0.501
B  0.501  0.381  0.622
B  0.622  0.501  0.381
B  0.881  0.001  0.122
N  0.001  0.244  0.757
N  0.002  0.878  0.126
N  0.126  0.002  0.878
N  0.244  0.757  0.001
N  0.257  0.744  0.501
N  0.378  0.502  0.626
N  0.501  0.257  0.744
N  0.502  0.626  0.378
N  0.626  0.378  0.502
N  0.744  0.501  0.257
N  0.757  0.001  0.244
N  0.878  0.126  0.002

---

# 2
This record from OQMD describes an optimized crystal structure of NaNbPdS3. The functional is GGA-PBE.

The value obtained for the spin magnetization is 0.003 μB/f.u.

abc: 7.329 3.568 9.355
angles: 90.00 108.07 90.00
Sites, in units of the cell vectors:
Na  0.234  0.250  0.204
Na  0.766  0.750  0.796
Nb  0.202  0.750  0.671
Nb  0.798  0.250  0.329
Pd  0.428  0.250  0.881
Pd  0.572  0.750  0.119
S  0.064  0.750  0.375
S  0.221  0.750  0.935
S  0.415  0.250  0.626
S  0.585  0.750  0.374
S  0.779  0.250  0.065
S  0.936  0.250  0.625

---

# 3
This record from OQMD describes an optimized crystal structure of AcNpZn. The functional is GGA-PBE.

The calculation puts the energy of formation at 54 kJ per mole of atoms. The value obtained for the spin magnetization is 4.700 μB/f.u.

abc: 5.133 5.133 5.133
angles: 60.00 60.00 60.00
Sites, in units of the cell vectors:
Ac  0.000  0.000  0.000
Np  0.500  0.500  0.500
Zn  0.250  0.250  0.250

---

# 4
This record from OQMD describes an optimized crystal structure of ScFeIrPb. The functional is GGA-PBE.

The value obtained for the spin magnetization is 3.315 μB/f.u.

abc: 4.658 4.658 4.658
angles: 60.00 60.00 60.00
Sites, in units of the cell vectors:
Sc  0.000  0.000  0.000
Fe  0.500  0.500  0.500
Ir  0.750  0.750  0.750
Pb  0.250  0.250  0.250

---

# 5
This record from OQMD describes an optimized crystal structure of SnPt15. The functional is GGA-PBE.

The value obtained for the spin magnetization is 0.001 μB/f.u.

abc: 5.550 3.970 36.484
angles: 90.00 90.00 90.00
Sites, in units of the cell vectors:
Sn  0.125  0.250  0.295
Sn  0.875  0.750  0.705
Pt  0.123  0.250  0.746
Pt  0.123  0.250  0.825
Pt  0.124  0.250  0.903
Pt  0.125  0.250  0.058
Pt  0.125  0.250  0.136
Pt  0.125  0.250  0.215
Pt  0.125  0.250  0.981
Pt  0.373  0.750  0.174
Pt  0.374  0.750  0.097
Pt  0.374  0.750  0.254
Pt  0.375  0.750  0.019
Pt  0.375  0.750  0.713
Pt  0.375  0.750  0.789
Pt  0.375  0.750  0.865
Pt  0.375  0.750  0.942
Pt  0.625  0.250  0.058
Pt  0.625  0.250  0.135
Pt  0.625  0.250  0.211
Pt  0.625  0.250  0.287
Pt  0.625  0.250  0.981
Pt  0.626  0.250  0.746
Pt  0.626  0.250  0.903
Pt  0.627  0.250  0.826
Pt  0.875  0.750  0.019
Pt  0.875  0.750  0.785
Pt  0.875  0.750  0.864
Pt  0.875  0.750  0.942
Pt  0.876  0.750  0.097
Pt  0.877  0.750  0.175
Pt  0.877  0.750  0.254

---

# 6
This record from OQMD describes an optimized crystal structure of Lu4B3P. The functional is GGA-PBE.

The value obtained for the spin magnetization is 0.022 μB/f.u.

abc: 3.934 3.934 21.850
angles: 90.00 90.00 120.00
Sites, in units of the cell vectors:
Lu  0.000  0.000  0.173
Lu  0.000  0.000  0.327
Lu  0.000  0.000  0.673
Lu  0.000  0.000  0.827
Lu  0.333  0.667  0.055
Lu  0.333  0.667  0.445
Lu  0.667  0.333  0.555
Lu  0.667  0.333  0.945
B  0.000  0.000  0.000
B  0.000  0.000  0.500
B  0.333  0.667  0.604
B  0.333  0.667  0.896
B  0.667  0.333  0.104
B  0.667  0.333  0.396
P  0.333  0.667  0.250
P  0.667  0.333  0.750

---

# 7
This record from OQMD describes an optimized crystal structure of RbTmSb. The functional is GGA-PBE.

The value obtained for the spin magnetization is 0.031 μB/f.u.

abc: 5.431 5.431 5.431
angles: 60.00 60.00 60.00
Sites, in units of the cell vectors:
Rb  0.000  0.000  0.000
Tm  0.500  0.500  0.500
Sb  0.250  0.250  0.250

---

# 8
This record from OQMD describes an optimized crystal structure of LiHgPd2. The functional is GGA-PBE.

abc: 4.640 4.640 7.811
angles: 90.00 90.00 120.00
Sites, in units of the cell vectors:
Li  0.333  0.667  0.250
Li  0.667  0.333  0.750
Hg  0.000  0.000  0.000
Hg  0.000  0.000  0.500
Pd  0.333  0.667  0.574
Pd  0.333  0.667  0.926
Pd  0.667  0.333  0.074
Pd  0.667  0.333  0.426

---

# 9
This record from OQMD describes an optimized crystal structure of Er2Ge. The functional is GGA-PBE.

The value obtained for the spin magnetization is 0.545 μB/f.u.

abc: 7.860 7.860 4.155
angles: 90.00 90.00 120.00
Sites, in units of the cell vectors:
Er  0.000  0.266  0.000
Er  0.000  0.599  0.500
Er  0.266  0.000  0.000
Er  0.401  0.401  0.500
Er  0.599  0.000  0.500
Er  0.734  0.734  0.000
Ge  0.000  0.000  0.500
Ge  0.333  0.667  0.000
Ge  0.667  0.333  0.000

---

# 10
This record from OQMD describes an optimized crystal structure of BeOs. The functional is GGA-PBE.

The value obtained for the spin magnetization is 0.002 μB/f.u.

abc: 2.707 2.707 3.689
angles: 90.00 90.00 120.00
Sites, in units of the cell vectors:
Be  0.000  0.000  0.000
Os  0.667  0.333  0.500

---

# 11
This record from OQMD describes an optimized crystal structure of ZrZnCuOs. The functional is GGA-PBE.

The calculation puts the energy of formation at -7 kJ per mole of atoms. The value obtained for the spin magnetization is 0.001 μB/f.u.

abc: 4.467 4.467 4.467
angles: 60.00 60.00 60.00
Sites, in units of the cell vectors:
Zr  0.000  0.000  0.000
Zn  0.500  0.500  0.500
Cu  0.750  0.750  0.750
Os  0.250  0.250  0.250

---

# 12
This record from OQMD describes an optimized crystal structure of CsNaAu. The functional is GGA-PBE.

abc: 5.720 5.720 5.720
angles: 60.00 60.00 60.00
Sites, in units of the cell vectors:
Cs  0.000  0.000  0.000
Na  0.500  0.500  0.500
Au  0.250  0.250  0.250

---

# 13
This record from OQMD describes an optimized crystal structure of FeSiPtW. The functional is GGA-PBE.

The value obtained for the spin magnetization is 1.075 μB/f.u.

abc: 4.294 4.294 4.294
angles: 60.00 60.00 60.00
Sites, in units of the cell vectors:
Fe  0.000  0.000  0.000
Si  0.750  0.750  0.750
Pt  0.250  0.250  0.250
W  0.500  0.500  0.500

---

# 14
This record from OQMD describes an optimized crystal structure of Y2ScAl3Cu2Ni. The functional is GGA-PBE.

The value obtained for the spin magnetization is 0.000 μB/f.u.

abc: 3.925 6.957 6.957
angles: 120.26 90.00 90.00
Sites, in units of the cell vectors:
Y  0.000  0.206  0.794
Y  0.000  0.794  0.206
Sc  0.000  0.386  0.386
Al  0.500  0.031  0.031
Al  0.500  0.556  0.785
Al  0.500  0.785  0.556
Cu  0.500  0.136  0.455
Cu  0.500  0.455  0.136
Ni  0.000  0.784  0.784

---

# 15
This record from OQMD describes an optimized crystal structure of Ga3Ni. The functional is GGA-PBE.

The value obtained for the spin magnetization is 0.004 μB/f.u.

abc: 4.798 4.798 4.798
angles: 132.25 132.25 69.83
Sites, in units of the cell vectors:
Ga  0.000  0.000  0.000
Ga  0.250  0.750  0.500
Ga  0.750  0.250  0.500
Ni  0.500  0.500  0.000

---

# 16
This record from OQMD describes an optimized crystal structure of Tm3Al3Zn8. The functional is GGA-PBE.

The value obtained for the spin magnetization is 0.003 μB/f.u.

abc: 8.109 8.109 8.109
angles: 150.01 108.08 79.84
Sites, in units of the cell vectors:
Tm  0.000  0.000  0.000
Tm  0.303  0.303  0.000
Tm  0.697  0.697  0.000
Al  0.296  0.500  0.796
Al  0.500  0.000  0.500
Al  0.704  0.500  0.204
Zn  0.031  0.661  0.369
Zn  0.136  0.859  0.277
Zn  0.292  0.661  0.631
Zn  0.417  0.141  0.277
Zn  0.583  0.859  0.723
Zn  0.708  0.339  0.369
Zn  0.864  0.141  0.723
Zn  0.969  0.339  0.631

---

# 17
This record from OQMD describes an optimized crystal structure of Ag3S2. The functional is GGA-PBE.

abc: 6.911 6.911 4.486
angles: 90.00 90.00 90.00
Sites, in units of the cell vectors:
Ag  0.000  0.000  0.000
Ag  0.150  0.350  0.282
Ag  0.350  0.850  0.718
Ag  0.500  0.500  0.000
Ag  0.650  0.150  0.718
Ag  0.850  0.650  0.282
S  0.222  0.722  0.235
S  0.278  0.222  0.765
S  0.722  0.778  0.765
S  0.778  0.278  0.235

---

# 18
This record from OQMD describes an optimized crystal structure of Te3Pd2. The functional is GGA-PBE.

abc: 4.136 4.136 15.871
angles: 90.00 90.00 120.00
Sites, in units of the cell vectors:
Te  0.333  0.667  0.085
Te  0.333  0.667  0.407
Te  0.333  0.667  0.769
Te  0.667  0.333  0.231
Te  0.667  0.333  0.593
Te  0.667  0.333  0.915
Pd  0.000  0.000  0.000
Pd  0.000  0.000  0.315
Pd  0.000  0.000  0.500
Pd  0.000  0.000  0.685

---

# 19
This record from OQMD describes an optimized crystal structure of CsNaNi. The functional is GGA-PBE.

The value obtained for the spin magnetization is 0.000 μB/f.u.

abc: 5.309 5.309 5.309
angles: 60.00 60.00 60.00
Sites, in units of the cell vectors:
Cs  0.000  0.000  0.000
Na  0.500  0.500  0.500
Ni  0.250  0.250  0.250

---

# 20
This record from OQMD describes an optimized crystal structure of NaPtAuSeS2. The functional is GGA-PBE.

The value obtained for the spin magnetization is 0.006 μB/f.u.

abc: 7.538 7.538 10.163
angles: 90.00 90.00 152.53
Sites, in units of the cell vectors:
Na  0.212  0.788  0.750
Na  0.788  0.212  0.250
Pt  0.500  0.500  0.000
Pt  0.500  0.500  0.500
Au  0.124  0.876  0.250
Au  0.876  0.124  0.750
Se  0.446  0.554  0.250
Se  0.554  0.446  0.750
S  0.109  0.891  0.022
S  0.109  0.891  0.478
S  0.891  0.109  0.522
S  0.891  0.109  0.978

---

# 21
This record from OQMD describes an optimized crystal structure of SrThTe3. The functional is GGA-PBE.

The value obtained for the spin magnetization is 0.001 μB/f.u.

abc: 8.579 4.643 17.886
angles: 90.00 90.00 90.00
Sites, in units of the cell vectors:
Sr  0.115  0.250  0.208
Sr  0.385  0.750  0.708
Sr  0.615  0.250  0.292
Sr  0.885  0.750  0.792
Th  0.239  0.750  0.457
Th  0.261  0.250  0.957
Th  0.739  0.750  0.043
Th  0.761  0.250  0.543
Te  0.009  0.250  0.403
Te  0.124  0.750  0.060
Te  0.171  0.250  0.787
Te  0.329  0.750  0.287
Te  0.376  0.250  0.560
Te  0.491  0.750  0.903
Te  0.509  0.250  0.097
Te  0.624  0.750  0.440
Te  0.671  0.250  0.713
Te  0.829  0.750  0.213
Te  0.876  0.250  0.940
Te  0.991  0.750  0.597

---

# 22
This record from OQMD describes an optimized crystal structure of AcNbAl. The functional is GGA-PBE.

The value obtained for the spin magnetization is 0.031 μB/f.u.

abc: 4.909 4.909 4.909
angles: 60.00 60.00 60.00
Sites, in units of the cell vectors:
Ac  0.000  0.000  0.000
Nb  0.500  0.500  0.500
Al  0.250  0.250  0.250

---

# 23
This record from OQMD describes an optimized crystal structure of SmCuSi2Os. The functional is GGA-PBE.

The value obtained for the spin magnetization is 0.004 μB/f.u.

abc: 5.835 5.835 5.835
angles: 139.43 139.43 58.71
Sites, in units of the cell vectors:
Sm  0.000  0.000  0.000
Cu  0.750  0.250  0.500
Si  0.378  0.378  0.000
Si  0.622  0.622  0.000
Os  0.250  0.750  0.500

---

Asked for DFT total energy across the records above, the calculation gives -0.6173; -0.4195; -0.4030; -0.4968; -0.4352; -0.4132; -0.2392; -0.2486; -0.3820; -0.5506; -0.4601; -0.1400; -0.5998; -0.3926; -0.2722; -0.2088; -0.2434; -0.3156; -0.1390; -0.3010; -0.3759; -0.3952; -0.4895 Ry per atom in order.